# 1
Compound: NaGaSn2F8
Source: the Alexandria database
Functional: PBE
Structure: relaxed

Spin magnetization = 0.00 μB per cell
Space group = P-1, No. 2

Cell and atoms, written as POSCAR:
```
NaGaSn2F8
1.0
5.210 0.000 0.000
-0.112 5.284 0.000
-0.467 -0.188 7.037
Na Ga Sn F
1 1 2 8
Direct
0.000 0.000 0.000
0.000 0.000 0.500
0.498 0.496 0.739
0.502 0.504 0.261
0.179 0.193 0.719
0.193 0.711 0.567
0.238 0.092 0.316
0.313 0.678 0.968
0.687 0.322 0.032
0.762 0.908 0.684
0.807 0.289 0.433
0.821 0.807 0.281
```

=====

# 2
Compound: Na2SrGaF8
Source: the Alexandria database
Functional: PBE
Structure: relaxed

Spin magnetization = 1.06 μB per cell
Space group = P-1, No. 2

Cell and atoms, written as POSCAR:
```
Na2SrGaF8
1.0
4.732 0.000 0.000
0.006 5.106 0.000
0.001 0.006 7.139
Na Sr Ga F
2 1 1 8
Direct
0.000 0.000 0.224
0.000 0.000 0.776
0.500 0.500 0.500
0.500 0.500 0.000
0.041 0.252 0.500
0.155 0.300 0.000
0.381 0.728 0.201
0.382 0.728 0.799
0.618 0.272 0.201
0.619 0.272 0.799
0.845 0.700 0.000
0.959 0.748 0.500
```

=====

# 3
Compound: NaSr2GaF
Source: the Alexandria database
Functional: PBE
Structure: relaxed

Spin magnetization = 0.00 μB per cell
Space group = P4/mmm, No. 123

Cell and atoms, written as POSCAR:
```
NaSr2GaF
1.0
5.352 0.000 0.000
0.000 5.352 0.000
0.000 0.000 4.583
Na Sr Ga F
1 2 1 1
Direct
0.000 0.000 0.000
0.000 0.500 0.500
0.500 0.000 0.500
0.500 0.500 0.000
0.000 0.000 0.500
```

=====

# 4
Compound: Na2Tl3GaF9
Source: the Alexandria database
Functional: PBE
Structure: relaxed

Spin magnetization = 0.66 μB per cell
Space group = P-3m1, No. 164

Cell and atoms, written as POSCAR:
```
Na2Tl3GaF9
1.0
6.124 0.000 0.000
-3.062 5.304 0.000
0.000 0.000 7.356
Na Tl Ga F
2 3 1 9
Direct
0.333 0.667 0.208
0.667 0.333 0.792
0.000 0.000 0.000
0.333 0.667 0.755
0.667 0.333 0.245
0.000 0.000 0.500
0.000 0.500 0.000
0.148 0.295 0.347
0.148 0.852 0.347
0.295 0.148 0.653
0.500 0.000 0.000
0.500 0.500 0.000
0.705 0.852 0.347
0.852 0.148 0.653
0.852 0.705 0.653
```

=====

# 5
Compound: NaTl2GaF6
Source: the Alexandria database
Functional: PBE
Structure: relaxed

Spin magnetization = 0.00 μB per cell
Space group = Fm-3m, No. 225

Cell and atoms, written as POSCAR:
```
NaTl2GaF6
1.0
0.000 4.288 4.288
4.288 0.000 4.288
4.288 4.288 0.000
Na Tl Ga F
1 2 1 6
Direct
0.000 0.000 0.000
0.250 0.250 0.250
0.750 0.750 0.750
0.500 0.500 0.500
0.274 0.274 0.726
0.274 0.726 0.274
0.274 0.726 0.726
0.726 0.274 0.274
0.726 0.274 0.726
0.726 0.726 0.274
```

=====

# 6
Compound: Na2TlGaF
Source: the Alexandria database
Functional: PBE
Structure: relaxed

Spin magnetization = 0.00 μB per cell
Space group = P4/mmm, No. 123

Cell and atoms, written as POSCAR:
```
Na2TlGaF
1.0
6.029 0.000 0.000
0.000 6.029 0.000
0.000 0.000 4.213
Na Tl Ga F
2 1 1 1
Direct
0.000 0.500 0.000
0.500 0.000 0.000
0.000 0.000 0.500
0.500 0.500 0.000
0.500 0.500 0.500
```

=====

no.,DOS at the Fermi energy (states/eV per atom),formation energy (no corrections) (eV/atom)
1,0.000,-2.47
2,0.381,-2.76
3,0.546,-1.21
4,0.440,-2.25
5,0.000,-2.40
6,0.571,-0.47